Record 1
Here is MgCd2P2 after structural relaxation from OQMD via LeMat-Bulk. Energies are from PBE.

As for the crystal system: trigonal.

Structure (CIF):
```
data_MgCd2P2
_chemical_formula_sum 'Mg1 Cd2 P2'
_symmetry_space_group_name_H-M 'P -3 m 1'
_symmetry_Int_Tables_number 164
_symmetry_space_group_name_Hall '-P 3 2"'
_cell_length_a 4.1971
_cell_length_b 4.1971
_cell_length_c 6.7952
_cell_angle_alpha 90.00
_cell_angle_beta 90.00
_cell_angle_gamma 120.00
loop_
_atom_site_label
_atom_site_type_symbol
_atom_site_fract_x
_atom_site_fract_y
_atom_site_fract_z
Mg1 Mg 0.0000 0.0000 0.0000
Cd1 Cd 0.3333 0.6667 0.6384
P1 P 0.3333 0.6667 0.2161
```

=====

Record 2
Here is MgCdP4Pb2 after structural relaxation from OQMD via LeMat-Bulk. Energies are from PBE.

As for the crystal system: tetragonal.

Structure (CIF):
```
data_MgCdP4Pb2
_chemical_formula_sum 'Mg2 Cd2 P8 Pb4'
_symmetry_space_group_name_H-M 'I -4'
_symmetry_Int_Tables_number 82
_symmetry_space_group_name_Hall 'I -4'
_cell_length_a 6.038
_cell_length_b 6.038
_cell_length_c 11.976
_cell_angle_alpha 90.00
_cell_angle_beta 90.00
_cell_angle_gamma 90.00
loop_
_atom_site_label
_atom_site_type_symbol
_atom_site_fract_x
_atom_site_fract_y
_atom_site_fract_z
Mg1 Mg 0.000 0.000 0.000
Cd1 Cd 0.000 0.500 0.750
P1 P 0.240 0.753 0.876
Pb1 Pb 0.000 0.000 0.500
Pb2 Pb 0.000 0.500 0.250
```

=====

What uncorrected energy values result from the calculations? In sequence: -15.19 -63.11 eV per cell.